Entry 1:
# CsAg2Au

A relaxed structure of CsAg2Au (PBE-GGA, Alexandria via LeMat-Bulk).

Geometry as POSCAR:
```
CsAg2Au
1.0
-2.7308 2.7308 9.5405
2.7308 -2.7308 9.5405
2.7308 2.7308 -9.5405
Cs Ag Au
2 4 2
direct
0.3750 0.6250 0.7500
0.6250 0.3750 0.2500
0.0000 0.0000 0.0000
0.0000 0.0000 0.5000
0.0000 0.5000 0.0000
0.5000 0.0000 0.5000
0.1250 0.8750 0.2500
0.8750 0.1250 0.7500
```

Calculated values
V: 35.57 Å³/atom
symmetry: I4_1/amd, No. 141
total moment: 0.0 Bohr magnetons per cell
formation enthalpy at 0 K: -0.1 eV/f.u.



Entry 2:
# PmTh4Sc4

A relaxed structure of PmTh4Sc4 (PBE-GGA, Alexandria via LeMat-Bulk).

Geometry as POSCAR:
```
PmTh4Sc4
1.0
-5.1940 5.1940 2.4238
5.1940 -5.1940 2.4238
5.1940 5.1940 -2.4238
Pm Th Sc
1 4 4
direct
0.0000 0.0000 0.0000
0.3298 0.3298 0.6595
0.3298 0.6702 0.0000
0.6702 0.3298 0.0000
0.6702 0.6702 0.3405
0.0000 0.3399 0.3399
0.0000 0.6601 0.6601
0.3399 0.0000 0.3399
0.6601 0.0000 0.6601
```

Calculated values
V: 29.06 Å³/atom
symmetry: I4/mmm, No. 139
total moment: 0.0 Bohr magnetons per cell
formation enthalpy at 0 K: 0.5 eV/f.u.



Entry 3:
# CrSiRu3

A relaxed structure of CrSiRu3 (PBE-GGA, Alexandria via LeMat-Bulk).

Geometry as POSCAR:
```
CrSiRu3
1.0
4.3908 0.0000 0.0000
0.0000 4.3908 0.0000
0.0000 0.0000 4.3908
Cr Si Ru
1 1 3
direct
0.0000 0.0000 0.0000
0.5000 0.5000 0.5000
0.0000 0.0000 0.5000
0.0000 0.5000 0.0000
0.5000 0.0000 0.0000
```

Calculated values
V: 16.93 Å³/atom
ΔE_f (raw): 1.28 eV/atom
symmetry: Pm-3m, No. 221
total moment: 0.0 Bohr magnetons per cell



Entry 4:
# Tm2TaHg

A relaxed structure of Tm2TaHg (PBE-GGA, Alexandria via LeMat-Bulk).

Geometry as POSCAR:
```
Tm2TaHg
1.0
1.5990 0.9232 11.1606
-1.5990 0.9232 11.1606
0.0000 -1.8464 11.1606
Tm Ta Hg
2 1 1
direct
0.0882 0.0882 0.0882
0.9118 0.9118 0.9118
0.0000 0.0000 0.0000
0.5000 0.5000 0.5000
```

Calculated values
V: 24.71 Å³/atom
symmetry: R-3m, No. 166
total moment: 0.7 Bohr magnetons per cell
formation enthalpy at 0 K: 1.9 eV/f.u.



Entry 5:
# Sr2MgAgPd

A relaxed structure of Sr2MgAgPd (PBE-GGA, Alexandria via LeMat-Bulk).

Geometry as POSCAR:
```
Sr2MgAgPd
1.0
5.8139 0.0000 0.0000
0.0000 5.8139 0.0000
0.0000 0.0000 5.0477
Sr Mg Ag Pd
2 1 1 1
direct
0.0000 0.5000 0.0000
0.5000 0.0000 0.0000
0.0000 0.0000 0.5000
0.5000 0.5000 0.5000
0.0000 0.0000 0.0000
```

Calculated values
V: 34.12 Å³/atom
symmetry: P4/mmm, No. 123
total moment: 0.0 Bohr magnetons per cell
formation enthalpy at 0 K: -1.1 eV/f.u.



Entry 6:
# Tl2InPd2

A relaxed structure of Tl2InPd2 (PBE-GGA, Alexandria via LeMat-Bulk).

Geometry as POSCAR:
```
Tl2InPd2
1.0
7.3869 0.0000 0.0000
0.0000 7.3869 0.0000
0.0000 0.0000 3.9335
Tl In Pd
4 2 4
direct
0.1580 0.3420 0.0000
0.3420 0.8420 0.0000
0.6580 0.1580 0.0000
0.8420 0.6580 0.0000
0.0000 0.0000 0.5000
0.5000 0.5000 0.5000
0.1435 0.6435 0.5000
0.3565 0.1435 0.5000
0.6435 0.8565 0.5000
0.8565 0.3565 0.5000
```

Calculated values
V: 21.46 Å³/atom
symmetry: P4/mbm, No. 127
total moment: 0.0 Bohr magnetons per cell
formation enthalpy at 0 K: -0.7 eV/f.u.



Entry 7:
# LaMo

A relaxed structure of LaMo (PBE-GGA, Alexandria via LeMat-Bulk).

Geometry as POSCAR:
```
LaMo
1.0
0.0000 3.0084 3.0084
3.0084 0.0000 3.0084
3.0084 3.0084 0.0000
La Mo
1 1
direct
0.0000 0.0000 0.0000
0.5000 0.5000 0.5000
```

Calculated values
V: 27.23 Å³/atom
symmetry: Fm-3m, No. 225
total moment: 2.5 Bohr magnetons per cell
formation enthalpy at 0 K: 2.8 eV/f.u.



Entry 8:
# TlFeCuI5

A relaxed structure of TlFeCuI5 (PBE-GGA, Alexandria via LeMat-Bulk).

Geometry as POSCAR:
```
TlFeCuI5
1.0
5.2630 -6.6395 0.0000
5.2630 6.6395 0.0000
-2.9037 0.0000 8.9192
Tl Fe Cu I
2 2 2 10
direct
0.1520 0.8480 0.7500
0.8480 0.1520 0.2500
0.1760 0.8240 0.2500
0.8240 0.1760 0.7500
0.5000 0.5000 0.0000
0.5000 0.5000 0.5000
0.0998 0.2331 0.9467
0.1659 0.5818 0.3770
0.2331 0.0998 0.4467
0.4182 0.8341 0.1230
0.4270 0.5730 0.7500
0.5730 0.4270 0.2500
0.5818 0.1659 0.8770
0.7669 0.9002 0.5533
0.8341 0.4182 0.6230
0.9002 0.7669 0.0533
```

Calculated values
V: 38.96 Å³/atom
ΔE_f (raw): -0.25 eV/atom
symmetry: C2/c, No. 15
total moment: 10.1 Bohr magnetons per cell



Entry 9:
# CsSn2I

A relaxed structure of CsSn2I (PBE-GGA, Alexandria via LeMat-Bulk).

Geometry as POSCAR:
```
CsSn2I
1.0
-2.6160 2.6160 13.1569
2.6160 -2.6160 13.1569
2.6160 2.6160 -13.1569
Cs Sn I
2 4 2
direct
0.0000 0.0000 0.0000
0.7500 0.2500 0.5000
0.2418 0.6250 0.1168
0.3750 0.4918 0.6168
0.5082 0.1250 0.8832
0.8750 0.7582 0.3832
0.2500 0.7500 0.5000
0.5000 0.5000 0.0000
```

Calculated values
V: 45.02 Å³/atom
ΔE_f (raw): -0.24 eV/atom
symmetry: I-42d, No. 122
total moment: 0.0 Bohr magnetons per cell



Entry 10:
# RbTlPb

A relaxed structure of RbTlPb (PBE-GGA, Alexandria via LeMat-Bulk).

Geometry as POSCAR:
```
RbTlPb
1.0
5.8421 0.0000 0.0000
-2.9210 5.0594 0.0000
0.0000 0.0000 3.6492
Rb Tl Pb
1 1 1
direct
0.0000 0.0000 0.0000
0.3333 0.6667 0.5000
0.6667 0.3333 0.5000
```

Calculated values
V: 35.95 Å³/atom
symmetry: P-6m2, No. 187
total moment: 0.0 Bohr magnetons per cell
formation enthalpy at 0 K: -0.1 eV/f.u.



Entry 11:
# GaPCl2

A relaxed structure of GaPCl2 (PBE-GGA, Alexandria via LeMat-Bulk).

Geometry as POSCAR:
```
GaPCl2
1.0
1.5815 0.9131 9.2422
-1.5815 0.9131 9.2422
0.0000 -1.8262 9.2422
Ga P Cl
1 1 2
direct
0.0000 0.0000 0.0000
0.5000 0.5000 0.5000
0.0927 0.0927 0.0927
0.9073 0.9073 0.9073
```

Calculated values
V: 20.02 Å³/atom
ΔE_f (raw): 0.26 eV/atom
symmetry: R-3m, No. 166
total moment: 0.0 Bohr magnetons per cell



Entry 12:
# OsPb2Se

A relaxed structure of OsPb2Se (PBE-GGA, Alexandria via LeMat-Bulk).

Geometry as POSCAR:
```
OsPb2Se
1.0
3.3514 0.0000 0.0000
0.0000 3.3514 0.0000
0.0000 0.0000 7.9848
Os Pb Se
1 2 1
direct
0.0000 0.0000 0.0000
0.5000 0.5000 0.2190
0.5000 0.5000 0.7810
0.0000 0.0000 0.5000
```

Calculated values
V: 22.42 Å³/atom
ΔE_f (raw): 0.60 eV/atom
symmetry: P4/mmm, No. 123
total moment: 0.0 Bohr magnetons per cell